(1)
CdAs2Se | PBE | optimized geometry

Properties
crystal system = tetragonal
energy above the lowest structure with this stoichiometry = 0 kJ/mol of formula units
DOS at the Fermi energy = 0.930 states/eV per cell
symmetry = P4mm
raw formation energy = -0.11 eV per atom

Cell: 3.902 3.902 6.130 Å, 90.00 90.00 90.00°
Positions (direct):
Cd (0.000, 0.000, 0.000)
As (0.000, 0.000, 0.561)
As (0.500, 0.500, 0.522)
Se (0.500, 0.500, 0.123)

***

(2)
SrZn4GaCu2 | PBE | optimized geometry

Properties
crystal system = trigonal
formation energy = -0.08 eV/atom
DOS at the Fermi energy = 2.834 states/eV per cell
symmetry = R-3m

Cell: 9.796 9.796 9.796 Å, 25.05 25.05 25.05°
Positions (direct):
Sr (0.000, 0.000, 0.000)
Zn (0.123, 0.123, 0.123)
Zn (0.408, 0.408, 0.408)
Zn (0.592, 0.592, 0.592)
Zn (0.877, 0.877, 0.877)
Ga (0.500, 0.500, 0.500)
Cu (0.236, 0.236, 0.236)
Cu (0.764, 0.764, 0.764)

***

(3)
K3Np2AuSe6 | PBE | optimized geometry

Properties
crystal system = monoclinic
DOS at the Fermi energy = 17.707 states/eV per cell
symmetry = C2/m
raw formation energy = -1.02 eV per atom

Cell: 7.489 7.489 7.922 Å, 97.46 97.46 123.88°
Positions (direct):
K (0.000, 0.000, 0.000)
K (0.347, 0.653, 0.000)
K (0.653, 0.347, 0.000)
Np (0.167, 0.833, 0.500)
Np (0.833, 0.167, 0.500)
Au (0.500, 0.500, 0.500)
Se (0.060, 0.435, 0.284)
Se (0.244, 0.244, 0.683)
Se (0.435, 0.060, 0.284)
Se (0.565, 0.940, 0.716)
Se (0.756, 0.756, 0.317)
Se (0.940, 0.565, 0.716)

***

(4)
CoRhAu2 | PBE | optimized geometry

Properties
crystal system = tetragonal
formation energy = 0.20 eV/atom
energy above the lowest structure with this stoichiometry = 39 kJ/mol of formula units
DOS at the Fermi energy = 4.210 states/eV per cell
symmetry = I-4m2

Cell: 4.848 4.848 4.848 Å, 131.92 131.92 70.36°
Positions (direct):
Co (0.000, 0.000, 0.000)
Rh (0.250, 0.750, 0.500)
Au (0.500, 0.500, 0.000)
Au (0.750, 0.250, 0.500)

***

(5)
Nb2Br8F | PBE | optimized geometry

Properties
crystal system = monoclinic
DOS at the Fermi energy = 6.366 states/eV per cell
symmetry = C2/m
raw formation energy = -1.08 eV per atom

Cell: 8.855 8.855 7.482 Å, 106.34 106.34 60.08°
Positions (direct):
Nb (0.146, 0.146, 0.111)
Nb (0.854, 0.854, 0.889)
Br (0.110, 0.635, 0.739)
Br (0.140, 0.140, 0.782)
Br (0.316, 0.316, 0.241)
Br (0.365, 0.890, 0.261)
Br (0.635, 0.110, 0.739)
Br (0.684, 0.684, 0.759)
Br (0.860, 0.860, 0.218)
Br (0.890, 0.365, 0.261)
F (0.000, 0.000, 0.000)

***

(6)
CeY8Ho4 | PBE | optimized geometry

Properties
crystal system = trigonal
formation energy = 0.18 eV/atom
DOS at the Fermi energy = 20.797 states/eV per cell
symmetry = R-3m

Cell: 9.900 9.900 9.900 Å, 43.17 43.17 43.17°
Positions (direct):
Ce (0.000, 0.000, 0.000)
Y (0.244, 0.244, 0.701)
Y (0.244, 0.701, 0.244)
Y (0.280, 0.280, 0.280)
Y (0.299, 0.756, 0.756)
Y (0.701, 0.244, 0.244)
Y (0.720, 0.720, 0.720)
Y (0.756, 0.299, 0.756)
Y (0.756, 0.756, 0.299)
Ho (0.000, 0.000, 0.500)
Ho (0.000, 0.500, 0.000)
Ho (0.500, 0.000, 0.000)
Ho (0.500, 0.500, 0.500)

***

| no. | M_tot (μB per formula unit) |
| --- | --- |
| 1 | 0.00 |
| 2 | 0.00 |
| 3 | 6.00 |
| 4 | 2.75 |
| 5 | 1.03 |
| 6 | 0.00 |